The following is a PBE-GGA calculation of a relaxed Sc2OsBr crystal, from Alexandria.

Values from the calculation:
SG ... I-4m2 (119)
Energy above the most stable polymorph in this dataset ... 689 meV per atom
Raw formation energy ... -0.06 eV/atom
Total DFT energy (no corrections) ... -51.616 eV/cell

a = 3.8279 Å, b = 3.8279 Å, c = 10.3368 Å
α = 90.00°, β = 90.00°, γ = 90.00°
Sites, in units of the cell vectors:
Sc 0.0000 0.0000 0.0000
Sc 0.0000 0.5000 0.2500
Sc 0.5000 0.0000 0.7500
Sc 0.5000 0.5000 0.5000
Os 0.0000 0.0000 0.5000
Os 0.5000 0.5000 0.0000
Br 0.0000 0.5000 0.7500
Br 0.5000 0.0000 0.2500